1.
A plane-wave DFT calculation with GGA-PBEsol was carried out for an optimized crystal structure of KY3W.

Geometry as CIF:
```
data_KY3W
_cell_length_a 5.000
_cell_length_b 5.000
_cell_length_c 5.000
_cell_angle_alpha 90.00
_cell_angle_beta 90.00
_cell_angle_gamma 90.00
_symmetry_space_group_name_H-M 'P m -3 m'
_symmetry_Int_Tables_number 221
_symmetry_space_group_name_Hall '-P 4 2 3'
loop_
_atom_site_label
_atom_site_fract_x
_atom_site_fract_y
_atom_site_fract_z
_atom_site_occupancy
K1 0.000 0.000 0.000 1
Y1 0.000 0.000 0.500 1
W1 0.500 0.500 0.500 1
```

Calculated values
As for the energy of formation: 1949 meV per atom.

***

2.
A plane-wave DFT calculation with GGA-PBEsol was carried out for an optimized crystal structure of Mg2ReMo.

Geometry as CIF:
```
data_Mg2ReMo
_cell_length_a 6.316
_cell_length_b 6.316
_cell_length_c 6.316
_cell_angle_alpha 90.00
_cell_angle_beta 90.00
_cell_angle_gamma 90.00
_symmetry_space_group_name_H-M 'F -4 3 m'
_symmetry_Int_Tables_number 216
_symmetry_space_group_name_Hall 'F -4 2 3'
loop_
_atom_site_label
_atom_site_fract_x
_atom_site_fract_y
_atom_site_fract_z
_atom_site_occupancy
Mg1 0.000 0.000 0.000 1
Mg2 0.250 0.250 0.250 1
Re1 0.250 0.250 0.750 1
Mo1 0.000 0.000 0.500 1
```

Calculated values
As for the energy of formation: 263 meV per atom.

***

3.
A plane-wave DFT calculation with GGA-PBEsol was carried out for an optimized crystal structure of Tl2Ag2Cl.

Geometry as CIF:
```
data_Tl2Ag2Cl
_cell_length_a 3.823
_cell_length_b 3.823
_cell_length_c 16.743
_cell_angle_alpha 90.00
_cell_angle_beta 90.00
_cell_angle_gamma 90.00
_symmetry_space_group_name_H-M 'I 4/m m m'
_symmetry_Int_Tables_number 139
_symmetry_space_group_name_Hall '-I 4 2'
loop_
_atom_site_label
_atom_site_fract_x
_atom_site_fract_y
_atom_site_fract_z
_atom_site_occupancy
Tl1 0.000 0.000 0.102 1
Ag1 0.000 0.500 0.250 1
Cl1 0.000 0.000 0.500 1
```

Calculated values
Its formation energy from raw total energies is -0.139 eV/atom.

***

4.
A plane-wave DFT calculation with GGA-PBEsol was carried out for an optimized crystal structure of NiAsRu2.

Geometry as CIF:
```
data_NiAsRu2
_cell_length_a 2.8001
_cell_length_b 2.8001
_cell_length_c 23.4074
_cell_angle_alpha 90.00
_cell_angle_beta 90.00
_cell_angle_gamma 120.00
_symmetry_space_group_name_H-M 'R -3 m'
_symmetry_Int_Tables_number 166
_symmetry_space_group_name_Hall '-R 3 2"'
loop_
_atom_site_label
_atom_site_fract_x
_atom_site_fract_y
_atom_site_fract_z
_atom_site_occupancy
Ni1 0.0000 0.0000 0.0000 1
As1 0.0000 0.0000 0.5000 1
Ru1 0.0000 0.0000 0.2476 1
```

Calculated values
As for the energy of formation: 212 meV per atom.

***

5.
A plane-wave DFT calculation with GGA-PBEsol was carried out for an optimized crystal structure of CaSc3Ag.

Geometry as CIF:
```
data_CaSc3Ag
_cell_length_a 4.952
_cell_length_b 4.952
_cell_length_c 4.952
_cell_angle_alpha 90.00
_cell_angle_beta 90.00
_cell_angle_gamma 90.00
_symmetry_space_group_name_H-M 'P m -3 m'
_symmetry_Int_Tables_number 221
_symmetry_space_group_name_Hall '-P 4 2 3'
loop_
_atom_site_label
_atom_site_fract_x
_atom_site_fract_y
_atom_site_fract_z
_atom_site_occupancy
Ca1 0.000 0.000 0.000 1
Sc1 0.000 0.000 0.500 1
Ag1 0.500 0.500 0.500 1
```

Calculated values
As for the energy of formation: 1204 meV per atom.

***

6.
A plane-wave DFT calculation with GGA-PBEsol was carried out for an optimized crystal structure of YSc2Si.

Geometry as CIF:
```
data_YSc2Si
_cell_length_a 3.770
_cell_length_b 3.770
_cell_length_c 6.088
_cell_angle_alpha 90.00
_cell_angle_beta 90.00
_cell_angle_gamma 90.00
_symmetry_space_group_name_H-M 'P 4 m m'
_symmetry_Int_Tables_number 99
loop_
_symmetry_equiv_pos_as_xyz
'x,y,z'
'-y,x,z'
'-x,-y,z'
'y,-x,z'
'-x,y,z'
'y,x,z'
'x,-y,z'
'-y,-x,z'
loop_
_atom_site_label
_atom_site_fract_x
_atom_site_fract_y
_atom_site_fract_z
_atom_site_occupancy
Y1 0.000 0.000 0.000 1
Sc1 0.000 0.000 0.545 1
Sc2 0.500 0.500 0.292 1
Si1 0.500 0.500 0.757 1
```

Calculated values
Its formation energy from raw total energies is -0.307 eV/atom.

***

| no. | electronic total energy (eV per cell) |
| --- | --- |
| 1 | -25.66 |
| 2 | -109.94 |
| 3 | -29.17 |
| 4 | -92.28 |
| 5 | -19.24 |
| 6 | -27.01 |